Material: DyBAs
Method: DFT, PBE-GGA
State: relaxed

Calculated total energy (hartree per atom): -0.1784
Excess energy over the best structure of this formula in the dataset (meV per atom): 350

Geometry as CIF:
```
data_DyBAs
_symmetry_space_group_name_H-M 'F -4 3 m'
_symmetry_Int_Tables_number 216
_symmetry_space_group_name_Hall 'F -4 2 3'
_cell_length_a 6.3881
_cell_length_b 6.3881
_cell_length_c 6.3881
_cell_angle_alpha 90.00
_cell_angle_beta 90.00
_cell_angle_gamma 90.00
loop_
_atom_site_label
_atom_site_type_symbol
_atom_site_fract_x
_atom_site_fract_y
_atom_site_fract_z
Dy1 Dy 0.0000 0.0000 0.0000
B1 B 0.2500 0.2500 0.2500
As1 As 0.2500 0.2500 0.7500
```

---

Material: DyBAs
Method: DFT, PBE-GGA
State: relaxed

Calculated total energy (hartree per atom): -0.1912
Excess energy over the best structure of this formula in the dataset (meV per atom): 0

Geometry as CIF:
```
data_DyBAs
_symmetry_space_group_name_H-M 'F -4 3 m'
_symmetry_Int_Tables_number 216
_symmetry_space_group_name_Hall 'F -4 2 3'
_cell_length_a 6.0594
_cell_length_b 6.0594
_cell_length_c 6.0594
_cell_angle_alpha 90.00
_cell_angle_beta 90.00
_cell_angle_gamma 90.00
loop_
_atom_site_label
_atom_site_type_symbol
_atom_site_fract_x
_atom_site_fract_y
_atom_site_fract_z
Dy1 Dy 0.0000 0.0000 0.0000
B1 B 0.2500 0.2500 0.7500
As1 As 0.0000 0.0000 0.5000
```

---

Material: Gd2DyNi2B2As3
Method: DFT, PBE-GGA
State: relaxed

Calculated total energy (hartree per atom): -0.2219

Geometry as CIF:
```
data_Gd2DyNi2B2As3
_symmetry_space_group_name_H-M 'I 4/m m m'
_symmetry_Int_Tables_number 139
_symmetry_space_group_name_Hall '-I 4 2'
_cell_length_a 4.0365
_cell_length_b 4.0365
_cell_length_c 21.9076
_cell_angle_alpha 90.00
_cell_angle_beta 90.00
_cell_angle_gamma 90.00
loop_
_atom_site_label
_atom_site_type_symbol
_atom_site_fract_x
_atom_site_fract_y
_atom_site_fract_z
Gd1 Gd 0.0000 0.0000 0.1418
Dy1 Dy 0.0000 0.0000 0.5000
Ni1 Ni 0.0000 0.5000 0.2500
B1 B 0.0000 0.0000 0.2763
As1 As 0.0000 0.0000 0.0000
As2 As 0.0000 0.0000 0.3718
```